Compound: Er2Zn3Si
Source: Alexandria via LeMat-Bulk
Functional: PBE
Structure: relaxed

a = 3.5971 Å, b = 4.3211 Å, c = 7.4715 Å
α = 90.00°, β = 90.00°, γ = 90.00°
Last column: nearest neighbours and their distance in Å.
Sites, in units of the cell vectors:
Si (0.5000, 0.5000, 0.3369)  3 Zn 2.48-2.52
Er (0.0000, 0.0000, 0.4915)  4 Si 3.04, 8 Zn 3.04-3.11
Er (0.0000, 0.5000, 0.0091)  2 Si 3.04, 10 Zn 3.04-3.11
Zn (0.5000, 0.0000, 0.1635)  1 Zn 2.49, 2 Si 2.52
Zn (0.5000, 0.0000, 0.8297)  3 Zn 2.47-2.49
Zn (0.5000, 0.5000, 0.6693)  2 Zn 2.47, 1 Si 2.48

Results
Size of the total moment   0.0 μB per formula unit
Formation energy without anion corrections   -0.475 eV per atom
Energy relative to the lowest polymorph listed for this composition   23 meV/atom
Total DFT energy (no corrections)   -3.537 eV/atom
DOS(E_F)   0.551 states/eV per atom